(1)
Computed, not measured: a relaxed structure of AgHg2SbO4 at the GGA-PBE level of DFT.

Summary:
Energy (eV/cell): -32.23
Size of the total moment (Bohr magnetons per cell): 0.000
Formation energy without anion corrections (kJ/mol of formula units): -465
SG: P1

The structure in POSCAR format:
```
AgHg2SbO4
1.0
4.897 0.199 -0.089
0.187 7.973 -0.074
-2.606 -4.192 4.056
O Ag Hg Sb
4 1 2 1
direct
0.737 0.453 0.073
0.140 0.993 0.783
0.622 0.677 0.657
0.405 0.837 0.286
0.911 0.493 0.793
0.235 0.167 0.600
0.612 0.032 0.133
0.725 0.735 0.450
```

(2)
Computed, not measured: a relaxed structure of BeRuPb2 at the GGA-PBE level of DFT.

Summary:
ΔE to the lowest computed polymorph (kJ/mol of formula units): 193
ΔH_f (0 K) (eV per atom): 0.67
Energy (eV/cell): -17.74
Size of the total moment (Bohr magnetons per cell): 0.000
SG: R-3m

The structure in POSCAR format:
```
BeRuPb2
1.0
8.318 0.005 0.003
7.631 3.310 0.003
7.631 1.586 2.906
Be Pb Ru
1 2 1
direct
0.750 0.750 0.750
0.000 0.000 0.000
0.500 0.500 0.500
0.250 0.250 0.250
```

(3)
Computed, not measured: a relaxed structure of NdHo12Tl3 at the GGA-PBE level of DFT.

Summary:
ΔH_f (0 K) (eV per atom): -0.12
Energy (eV/cell): -68.69
Size of the total moment (Bohr magnetons per cell): 0.006
SG: P4/mmm

The structure in POSCAR format:
```
NdHo12Tl3
1.0
4.853 0.000 0.000
0.000 4.853 0.000
0.000 0.000 19.858
Ho Tl Nd
12 3 1
direct
0.500 0.000 0.132
0.500 0.000 0.868
0.500 0.500 0.500
0.500 0.000 0.622
0.500 0.500 0.000
0.500 0.500 0.744
0.000 0.500 0.622
0.500 0.000 0.378
0.000 0.500 0.132
0.000 0.500 0.378
0.500 0.500 0.256
0.000 0.500 0.868
0.000 0.000 0.257
0.000 0.000 0.500
0.000 0.000 0.743
0.000 0.000 0.000
```

(4)
Computed, not measured: a relaxed structure of Na2Sr5Cu2 at the GGA-PBE level of DFT.

Summary:
ΔH_f (0 K) (eV per atom): 0.00
Energy (eV/cell): -38.52
Size of the total moment (Bohr magnetons per cell): 0.000
SG: Cmce

The structure in POSCAR format:
```
Na2Sr5Cu2
1.0
7.835 0.000 2.844
0.000 8.324 0.000
0.438 0.000 11.006
Sr Cu Na
10 4 4
direct
0.932 0.323 0.782
0.500 0.500 0.000
0.286 0.677 0.782
0.568 0.823 0.218
0.786 0.823 0.782
0.714 0.323 0.218
0.068 0.677 0.218
0.214 0.177 0.218
0.432 0.177 0.782
0.000 0.000 0.000
0.108 0.392 0.000
0.892 0.608 0.000
0.608 0.108 0.000
0.392 0.892 0.000
0.270 0.500 0.459
0.230 0.000 0.541
0.770 0.000 0.459
0.730 0.500 0.541
```

(5)
Computed, not measured: a relaxed structure of Sr2MgAs2 at the GGA-PBE level of DFT.

Summary:
ΔH_f (0 K) (eV per atom): -1.05
Energy (eV/cell): -38.98
Size of the total moment (Bohr magnetons per cell): 0.000
SG: Ibam

The structure in POSCAR format:
```
Sr2MgAs2
1.0
5.907 0.000 -2.540
-1.354 6.235 -3.149
-0.077 -0.057 7.959
Mg Sr As
2 4 4
direct
0.250 0.500 0.000
0.750 0.500 0.000
0.143 0.312 0.285
0.643 0.973 0.285
0.857 0.688 0.715
0.357 0.027 0.715
0.887 0.162 0.775
0.113 0.838 0.225
0.613 0.387 0.225
0.387 0.613 0.775
```

(6)
Computed, not measured: a relaxed structure of CeErIn4 at the GGA-PBE level of DFT.

Summary:
ΔE to the lowest computed polymorph (kJ/mol of formula units): 0
ΔH_f (0 K) (eV per atom): -0.29
Energy (eV/cell): -23.18
Size of the total moment (Bohr magnetons per cell): 1.214
SG: F-43m

The structure in POSCAR format:
```
CeErIn4
1.0
6.041 0.000 0.000
3.020 5.232 0.000
3.020 1.744 4.932
In Er Ce
4 1 1
direct
0.125 0.625 0.625
0.625 0.625 0.625
0.625 0.125 0.625
0.625 0.625 0.125
0.250 0.250 0.250
0.000 0.000 0.000
```

(7)
Computed, not measured: a relaxed structure of Nb3ReSb at the GGA-PBE level of DFT.

Summary:
ΔE to the lowest computed polymorph (kJ/mol of formula units): 0
Energy (eV/cell): -42.04
Size of the total moment (Bohr magnetons per cell): 0.000
Formation energy without anion corrections (kJ/mol of formula units): 457
SG: Pm-3m

The structure in POSCAR format:
```
Nb3ReSb
1.0
-1.899 3.656 -2.629
-1.505 -3.205 -3.369
-4.244 -0.499 2.371
Nb Sb Re
3 1 1
direct
0.500 0.000 0.000
0.000 0.500 0.000
0.000 0.000 0.500
0.500 0.500 0.500
0.000 0.000 0.000
```

(8)
Computed, not measured: a relaxed structure of Os2PbBr at the GGA-PBE level of DFT.

Summary:
ΔE to the lowest computed polymorph (kJ/mol of formula units): 410
Energy (eV/cell): -21.63
Size of the total moment (Bohr magnetons per cell): 0.000
Formation energy without anion corrections (kJ/mol of formula units): 599
SG: Fm-3m

The structure in POSCAR format:
```
Os2PbBr
1.0
0.797 -4.092 -2.114
-3.500 -3.039 -0.604
-1.698 -0.787 -4.283
Os Pb Br
2 1 1
direct
0.750 0.750 0.750
0.250 0.250 0.250
0.500 0.500 0.500
0.000 0.000 0.000
```

(9)
Computed, not measured: a relaxed structure of LaFe2Hg at the GGA-PBE level of DFT.

Summary:
ΔH_f (0 K) (eV per atom): 0.43
Energy (eV/cell): -40.90
Size of the total moment (Bohr magnetons per cell): 8.639
SG: I4_1/amd

The structure in POSCAR format:
```
LaFe2Hg
1.0
4.581 0.000 0.000
0.000 4.581 0.000
2.290 2.290 9.310
La Fe Hg
2 4 2
direct
0.500 0.500 0.000
0.250 0.750 0.500
0.875 0.125 0.250
0.875 0.625 0.250
0.375 0.125 0.750
0.875 0.125 0.750
0.000 0.000 0.000
0.750 0.250 0.500
```

(10)
Computed, not measured: a relaxed structure of Ac5PrSm2Ho at the GGA-PBE level of DFT.

Summary:
ΔH_f (0 K) (eV per atom): 0.14
Energy (eV/cell): -76.12
Size of the total moment (Bohr magnetons per cell): 0.000
SG: Cmc2_1

The structure in POSCAR format:
```
Ac5PrSm2Ho
1.0
5.816 0.000 0.000
-2.908 11.435 0.000
0.000 0.000 11.081
Ho Ac Sm Pr
2 10 4 2
direct
0.794 0.587 0.508
0.206 0.413 0.008
0.998 0.996 0.008
0.282 0.564 0.695
0.002 0.004 0.508
0.628 0.256 0.508
0.718 0.437 0.822
0.282 0.563 0.322
0.372 0.744 0.008
0.500 0.000 0.758
0.500 0.000 0.258
0.718 0.436 0.195
0.114 0.228 0.761
0.886 0.772 0.261
0.886 0.772 0.755
0.114 0.228 0.255
0.598 0.196 0.008
0.402 0.804 0.508
```

(11)
Computed, not measured: a relaxed structure of AlCrHRh2 at the GGA-PBE level of DFT.

Summary:
ΔE to the lowest computed polymorph (kJ/mol of formula units): 323
Energy (eV/cell): -29.98
Size of the total moment (Bohr magnetons per cell): 1.682
SG: P4/mmm

The structure in POSCAR format:
```
AlCrHRh2
1.0
-3.482 2.651 1.420
-1.322 -0.281 -2.717
-2.242 -3.736 1.478
Rh Cr Al H
2 1 1 1
direct
0.500 0.000 0.000
0.000 0.000 0.500
0.000 0.000 0.000
0.500 0.500 0.500
0.000 0.500 0.000
```

(12)
Computed, not measured: a relaxed structure of La6SmCo2 at the GGA-PBE level of DFT.

Summary:
ΔH_f (0 K) (eV per atom): -0.05
Energy (eV/cell): -97.92
Size of the total moment (Bohr magnetons per cell): 0.000
SG: Immm

The structure in POSCAR format:
```
La6SmCo2
1.0
-7.129 -3.769 -3.895
1.587 -3.023 8.279
-1.655 8.784 0.561
Co La Sm
4 12 2
direct
0.500 0.352 0.852
0.278 0.000 0.278
0.500 0.648 0.148
0.722 0.000 0.722
0.319 0.645 0.326
0.681 0.355 0.674
0.783 0.227 0.011
0.871 0.692 0.179
0.319 0.993 0.674
0.681 0.007 0.326
0.487 0.308 0.179
0.513 0.692 0.821
0.783 0.773 0.556
0.129 0.308 0.821
0.217 0.227 0.444
0.217 0.773 0.989
0.000 0.500 0.500
0.000 0.000 0.000
```

What did the fourth record say?
Computed, not measured: a relaxed structure of Na2Sr5Cu2 at the GGA-PBE level of DFT.

Summary:
ΔH_f (0 K) (eV per atom): 0.00
Energy (eV/cell): -38.52
Size of the total moment (Bohr magnetons per cell): 0.000
SG: Cmce

The structure in POSCAR format:
```
Na2Sr5Cu2
1.0
7.835 0.000 2.844
0.000 8.324 0.000
0.438 0.000 11.006
Sr Cu Na
10 4 4
direct
0.932 0.323 0.782
0.500 0.500 0.000
0.286 0.677 0.782
0.568 0.823 0.218
0.786 0.823 0.782
0.714 0.323 0.218
0.068 0.677 0.218
0.214 0.177 0.218
0.432 0.177 0.782
0.000 0.000 0.000
0.108 0.392 0.000
0.892 0.608 0.000
0.608 0.108 0.000
0.392 0.892 0.000
0.270 0.500 0.459
0.230 0.000 0.541
0.770 0.000 0.459
0.730 0.500 0.541
```

Copy entry 10 word for word.
Computed, not measured: a relaxed structure of Ac5PrSm2Ho at the GGA-PBE level of DFT.

Summary:
ΔH_f (0 K) (eV per atom): 0.14
Energy (eV/cell): -76.12
Size of the total moment (Bohr magnetons per cell): 0.000
SG: Cmc2_1

The structure in POSCAR format:
```
Ac5PrSm2Ho
1.0
5.816 0.000 0.000
-2.908 11.435 0.000
0.000 0.000 11.081
Ho Ac Sm Pr
2 10 4 2
direct
0.794 0.587 0.508
0.206 0.413 0.008
0.998 0.996 0.008
0.282 0.564 0.695
0.002 0.004 0.508
0.628 0.256 0.508
0.718 0.437 0.822
0.282 0.563 0.322
0.372 0.744 0.008
0.500 0.000 0.758
0.500 0.000 0.258
0.718 0.436 0.195
0.114 0.228 0.761
0.886 0.772 0.261
0.886 0.772 0.755
0.114 0.228 0.255
0.598 0.196 0.008
0.402 0.804 0.508
```

Please write out number 11 again, unchanged.
Computed, not measured: a relaxed structure of AlCrHRh2 at the GGA-PBE level of DFT.

Summary:
ΔE to the lowest computed polymorph (kJ/mol of formula units): 323
Energy (eV/cell): -29.98
Size of the total moment (Bohr magnetons per cell): 1.682
SG: P4/mmm

The structure in POSCAR format:
```
AlCrHRh2
1.0
-3.482 2.651 1.420
-1.322 -0.281 -2.717
-2.242 -3.736 1.478
Rh Cr Al H
2 1 1 1
direct
0.500 0.000 0.000
0.000 0.000 0.500
0.000 0.000 0.000
0.500 0.500 0.500
0.000 0.500 0.000
```

What did the third record say?
Computed, not measured: a relaxed structure of NdHo12Tl3 at the GGA-PBE level of DFT.

Summary:
ΔH_f (0 K) (eV per atom): -0.12
Energy (eV/cell): -68.69
Size of the total moment (Bohr magnetons per cell): 0.006
SG: P4/mmm

The structure in POSCAR format:
```
NdHo12Tl3
1.0
4.853 0.000 0.000
0.000 4.853 0.000
0.000 0.000 19.858
Ho Tl Nd
12 3 1
direct
0.500 0.000 0.132
0.500 0.000 0.868
0.500 0.500 0.500
0.500 0.000 0.622
0.500 0.500 0.000
0.500 0.500 0.744
0.000 0.500 0.622
0.500 0.000 0.378
0.000 0.500 0.132
0.000 0.500 0.378
0.500 0.500 0.256
0.000 0.500 0.868
0.000 0.000 0.257
0.000 0.000 0.500
0.000 0.000 0.743
0.000 0.000 0.000
```